# Mn3SbPt | the Alexandria database | PBE-GGA | relaxed
data_Mn3SbPt
_chemical_formula_sum 'Mn3 Sb1 Pt1'
_symmetry_space_group_name_H-M 'P m -3 m'
_symmetry_Int_Tables_number 221
_symmetry_space_group_name_Hall '-P 4 2 3'
_cell_length_a 4.867
_cell_length_b 4.867
_cell_length_c 4.867
_cell_angle_alpha 90.00
_cell_angle_beta 90.00
_cell_angle_gamma 90.00
loop_
_atom_site_label
_atom_site_type_symbol
_atom_site_fract_x
_atom_site_fract_y
_atom_site_fract_z
Mn1 Mn 0.000 0.000 0.500
Sb1 Sb 0.500 0.500 0.500
Pt1 Pt 0.000 0.000 0.000
# - Calculated total energy: -34.80 eV per cell
# - V: 115.3 Å³ per cell
# - M_tot: 12.91 μB per cell

=====

# Mn2SbPt | the Alexandria database | PBE-GGA | relaxed
data_Mn2SbPt
_chemical_formula_sum 'Mn8 Sb4 Pt4'
_symmetry_space_group_name_H-M 'F -4 3 m'
_symmetry_Int_Tables_number 216
_symmetry_space_group_name_Hall 'F -4 2 3'
_cell_length_a 6.266
_cell_length_b 6.266
_cell_length_c 6.266
_cell_angle_alpha 90.00
_cell_angle_beta 90.00
_cell_angle_gamma 90.00
loop_
_atom_site_label
_atom_site_type_symbol
_atom_site_fract_x
_atom_site_fract_y
_atom_site_fract_z
Mn1 Mn 0.000 0.000 0.000
Mn2 Mn 0.250 0.250 0.250
Sb1 Sb 0.250 0.250 0.750
Pt1 Pt 0.000 0.000 0.500
# - Calculated total energy: -113.17 eV per cell
# - V: 246.1 Å³ per cell
# - M_tot: 19.85 μB per cell

=====

# Mn2SbPt | the Alexandria database | PBE-GGA | relaxed
data_Mn2SbPt
_chemical_formula_sum 'Mn2 Sb1 Pt1'
_symmetry_space_group_name_H-M 'P 4/m m m'
_symmetry_Int_Tables_number 123
_symmetry_space_group_name_Hall '-P 4 2'
_cell_length_a 3.970
_cell_length_b 3.970
_cell_length_c 3.983
_cell_angle_alpha 90.00
_cell_angle_beta 90.00
_cell_angle_gamma 90.00
loop_
_atom_site_label
_atom_site_type_symbol
_atom_site_fract_x
_atom_site_fract_y
_atom_site_fract_z
Mn1 Mn 0.000 0.500 0.000
Sb1 Sb 0.000 0.000 0.500
Pt1 Pt 0.500 0.500 0.500
# - Calculated total energy: -28.83 eV per cell
# - V: 62.8 Å³ per cell
# - M_tot: 6.02 μB per cell